Entry 1:
A plane-wave DFT calculation with PBE was carried out for a relaxed structure of BiOs2Pd.

Calculated values
The energy relative to the elements comes out at 0.77 eV per atom. For the density of states at the Fermi level, the calculation gives 8.31 states/eV per cell. Its energy is -113.882 eV for the cell shown.

Cell: 4.006 4.006 19.636 Å, 90.00 90.00 90.00°
Space group I-42d (No. 122)
Symmetry-distinct sites (fractional):
Bi 0.000 0.000 0.000
Os 0.162 0.250 0.625
Pd 0.000 0.000 0.500

=====

Entry 2:
A plane-wave DFT calculation with PBE was carried out for a relaxed structure of Nd2ZnGa4Ru3.

Calculated values
The energy relative to the elements comes out at -0.39 eV per atom. For the density of states at the Fermi level, the calculation gives 5.67 states/eV per cell. Its energy is -54.686 eV for the cell shown.

Cell: 4.096 4.096 11.191 Å, 90.00 90.00 90.00°
Space group P-4m2 (No. 115)
Symmetry-distinct sites (fractional):
Nd 0.000 0.500 0.239
Zn 0.000 0.000 0.500
Ga 0.000 0.000 0.000
Ga 0.000 0.500 0.636
Ga 0.500 0.500 0.000
Ru 0.000 0.500 0.864
Ru 0.500 0.500 0.500

=====

Entry 3:
A plane-wave DFT calculation with PBE was carried out for a relaxed structure of Tb2ScRu3.

Calculated values
The energy relative to the elements comes out at -0.35 eV per atom. For the density of states at the Fermi level, the calculation gives 26.96 states/eV per cell. Its energy is -182.075 eV for the cell shown.

Cell: 4.721 14.186 6.720 Å, 90.00 90.00 90.00°
Space group Cmmm (No. 65)
Symmetry-distinct sites (fractional):
Tb 0.000 0.000 0.000
Tb 0.000 0.000 0.500
Tb 0.000 0.333 0.000
Sc 0.000 0.330 0.500
Ru 0.000 0.170 0.261
Ru 0.000 0.500 0.257